(1)
The following is a PBE-GGA calculation of LiAc2CePd6 after structural relaxation, from Alexandria via LeMat-Bulk.

a b c (Å): 9.669 9.672 6.838
angles (deg): 90.00 134.91 90.00
Space group C2/m (No. 12)
Unique sites:
1 Li 0.000 0.000 0.000
2 Ac 0.000 0.250 0.500
3 Ce 0.000 0.500 0.000
4 Pd 0.000 0.230 0.000
5 Pd 0.230 0.000 0.000
6 Pd 0.230 0.000 0.459

Values from the calculation:
crystal system: monoclinic
ΔH_f (0 K): -45.9 kJ per mole of atoms

***

(2)
The following is a PBE-GGA calculation of Cu3MoSe after structural relaxation, from Alexandria via LeMat-Bulk.

a b c (Å): 4.697 4.697 4.697
angles (deg): 90.00 90.00 90.00
Space group Pm-3m (No. 221)
Unique sites:
1 Cu 0.000 0.000 0.500
2 Mo 0.000 0.000 0.000
3 Se 0.500 0.500 0.500

Values from the calculation:
crystal system: cubic
VASP energy: -3.78 eV/atom

***

(3)
The following is a PBE-GGA calculation of BSeIN2 after structural relaxation, from Alexandria via LeMat-Bulk.

a b c (Å): 3.799 3.799 4.490
angles (deg): 90.00 90.00 90.00
Space group P4/mmm (No. 123)
Unique sites:
1 B 0.000 0.000 0.000
2 Se 0.000 0.000 0.500
3 I 0.500 0.500 0.500
4 N 0.000 0.500 0.000

Values from the calculation:
crystal system: tetragonal
VASP energy: -3.76 eV/atom

***

(4)
The following is a PBE-GGA calculation of Tb2PrThHg4 after structural relaxation, from Alexandria via LeMat-Bulk.

a b c (Å): 5.3670 5.3670 26.3318
angles (deg): 90.00 90.00 120.00
Space group R-3m (No. 166, hexagonal axes)
Unique sites:
1 Tb 0.0000 0.0000 0.2490
2 Pr 0.0000 0.0000 0.0000
3 Th 0.0000 0.0000 0.5000
4 Hg 0.0000 0.0000 0.1248
5 Hg 0.0000 0.0000 0.3751

Values from the calculation:
crystal system: trigonal
ΔH_f (0 K): -37.9 kJ per mole of atoms

***

(5)
The following is a PBE-GGA calculation of NpPa5S6 after structural relaxation, from Alexandria via LeMat-Bulk.

a b c (Å): 6.805 11.909 6.601
angles (deg): 90.00 110.59 90.00
Space group C2/m (No. 12)
Unique sites:
1 Np 0.000 0.000 0.000
2 Pa 0.000 0.167 0.500
3 Pa 0.000 0.333 0.000
4 Pa 0.000 0.500 0.500
5 S 0.249 0.000 0.751
6 S 0.249 0.166 0.248

Values from the calculation:
crystal system: monoclinic
VASP energy: -8.67 eV/atom

***

(6)
The following is a PBE-GGA calculation of ZrSiSbI2 after structural relaxation, from Alexandria via LeMat-Bulk.

a b c (Å): 5.303 5.303 5.416
angles (deg): 90.00 90.00 90.00
Space group P4/mmm (No. 123)
Unique sites:
1 Zr 0.000 0.000 0.000
2 Si 0.500 0.500 0.500
3 Sb 0.500 0.500 0.000
4 I 0.000 0.500 0.500

Values from the calculation:
crystal system: tetragonal
VASP energy: -3.57 eV/atom

***

(7)
The following is a PBE-GGA calculation of Ce3Tm5As8 after structural relaxation, from Alexandria via LeMat-Bulk.

a b c (Å): 8.2444 8.2444 20.1590
angles (deg): 90.00 90.00 120.00
Space group R-3m (No. 166, hexagonal axes)
Unique sites:
1 Ce 0.0000 0.5000 0.0000
2 Tm 0.0000 0.0000 0.0000
3 Tm 0.0000 0.0000 0.5000
4 Tm 0.0000 0.5000 0.5000
5 As 0.0000 0.0000 0.2470
6 As 0.0033 0.5017 0.7517

Values from the calculation:
crystal system: trigonal
ΔH_f (0 K): -141.9 kJ per mole of atoms

***

(8)
The following is a PBE-GGA calculation of La2ZrMoN5 after structural relaxation, from Alexandria via LeMat-Bulk.

a b c (Å): 3.474 13.784 10.784
angles (deg): 90.00 90.00 90.00
Space group Cmc2_1 (No. 36)
Unique sites:
1 La 0.000 0.111 0.000
2 La 0.000 0.147 0.613
3 Zr 0.000 0.215 0.324
4 Mo 0.000 0.473 0.769
5 N 0.000 0.045 0.350
6 N 0.000 0.282 0.966
7 N 0.000 0.320 0.698
8 N 0.000 0.371 0.315
9 N 0.000 0.491 0.104

Values from the calculation:
crystal system: orthorhombic
VASP energy: -9.04 eV/atom

***

(9)
The following is a PBE-GGA calculation of ZrCd3Ni after structural relaxation, from Alexandria via LeMat-Bulk.

a b c (Å): 4.803 4.803 4.803
angles (deg): 90.00 90.00 90.00
Space group Pm-3m (No. 221)
Unique sites:
1 Zr 0.000 0.000 0.000
2 Cd 0.000 0.500 0.500
3 Ni 0.500 0.500 0.500

Values from the calculation:
crystal system: cubic
ΔH_f (0 K): 36.3 kJ per mole of atoms

***

(10)
The following is a PBE-GGA calculation of Tb3Ho2Ag2 after structural relaxation, from Alexandria via LeMat-Bulk.

a b c (Å): 4.861 22.769 3.415
angles (deg): 90.00 90.00 90.00
Space group Cmmm (No. 65)
Unique sites:
1 Tb 0.000 0.000 0.000
2 Tb 0.000 0.141 0.000
3 Ho 0.000 0.291 0.500
4 Ag 0.000 0.430 0.500

Values from the calculation:
crystal system: orthorhombic
ΔH_f (0 K): 4.5 kJ per mole of atoms

***

(11)
The following is a PBE-GGA calculation of K2TaIr2 after structural relaxation, from Alexandria via LeMat-Bulk.

a b c (Å): 5.084 5.084 8.542
angles (deg): 90.00 90.00 90.00
Space group I4/mmm (No. 139)
Unique sites:
1 K 0.000 0.000 0.140
2 Ta 0.000 0.000 0.500
3 Ir 0.000 0.500 0.250

Values from the calculation:
crystal system: tetragonal
ΔH_f (0 K): 201.6 kJ per mole of atoms

***

(12)
The following is a PBE-GGA calculation of BeIr2Pb after structural relaxation, from Alexandria via LeMat-Bulk.

a b c (Å): 2.874 3.613 6.398
angles (deg): 90.00 98.29 90.00
Space group P2/m (No. 10)
Unique sites:
1 Be 0.000 0.000 0.000
2 Ir 0.326 0.500 0.179
3 Pb 0.000 0.000 0.500

Values from the calculation:
crystal system: monoclinic
ΔH_f (0 K): 22.4 kJ per mole of atoms